DFT (PBE-GGA) results for MgBi4O8 after structural relaxation.

The structure in POSCAR format:
```
MgBi4O8
1.0
3.563 2.057 4.906
-3.563 2.057 4.906
0.000 -4.114 4.906
Mg Bi O
1 4 8
Cartesian
0.000 0.000 0.000
-3.563 0.000 7.359
-1.782 1.029 2.453
1.782 1.029 2.453
0.000 0.000 7.359
-1.931 -1.115 8.557
0.000 0.000 3.500
0.000 -2.230 6.160
-1.931 1.115 6.160
1.931 -1.115 8.557
0.000 2.230 8.557
0.000 0.000 11.217
1.931 1.115 6.160
```

As for the space group: R-3m (166). The calculation puts the raw formation energy at -13.89 eV/f.u. Its energy relative to the lowest polymorph listed for this composition is 20.03 kJ per mole of atoms.


DFT (PBE-GGA) results for La3PmSb3 after structural relaxation.

The structure in POSCAR format:
```
La3PmSb3
1.0
9.642 0.000 0.000
0.000 9.642 0.000
0.000 0.000 9.642
La Pm Sb
12 4 12
Cartesian
0.662 4.159 5.483
1.716 7.926 3.105
1.723 1.723 1.723
3.098 7.919 6.544
3.105 1.716 7.926
4.159 5.483 0.662
5.483 0.662 4.159
6.538 6.538 6.538
6.544 3.098 7.919
7.919 6.544 3.098
7.926 3.105 1.716
8.980 8.980 8.980
0.680 5.501 8.962
4.141 4.141 4.141
5.501 8.962 0.680
8.962 0.680 5.501
0.008 2.443 8.404
1.239 4.829 2.378
2.378 1.239 4.829
2.443 8.404 0.008
3.583 4.813 7.199
4.813 7.199 3.583
4.829 2.378 1.239
6.060 9.635 7.264
7.199 3.583 4.813
7.264 6.060 9.635
8.404 0.008 2.443
9.635 7.264 6.060
```

As for the space group: P2_13 (198). The calculation puts the raw formation energy at -7.82 eV/f.u. Its energy relative to the lowest polymorph listed for this composition is 0.00 kJ per mole of atoms.


DFT (PBE-GGA) results for Sb2TeW after structural relaxation.

The structure in POSCAR format:
```
Sb2TeW
1.0
3.534 0.000 0.000
0.000 1.821 8.118
0.000 -1.821 8.118
Sb Te W
2 1 1
Cartesian
0.000 0.000 0.000
1.767 0.000 6.240
0.000 0.000 11.336
1.767 0.000 9.294
```

As for the space group: Amm2 (38). The calculation puts the raw formation energy at 1.33 eV/f.u.


DFT (PBE-GGA) results for InHgSe after structural relaxation.

The structure in POSCAR format:
```
InHgSe
1.0
5.632 0.000 0.000
-0.001 5.638 0.000
-2.811 -2.810 6.106
In Hg Se
2 2 2
Cartesian
0.000 0.000 0.000
2.814 2.820 0.002
-0.017 -0.360 3.052
2.829 3.209 3.050
0.003 2.830 6.098
2.819 0.010 6.088
```

As for the space group: P1 (1). The calculation puts the raw formation energy at -0.59 eV/f.u. Its energy relative to the lowest polymorph listed for this composition is 0.00 kJ per mole of atoms.


DFT (PBE-GGA) results for Pr2Nd5Y2 after structural relaxation.

The structure in POSCAR format:
```
Pr2Nd5Y2
1.0
8.475 -1.778 0.000
8.475 1.778 0.000
-2.262 0.000 10.471
Pr Nd Y
2 5 2
Cartesian
16.534 0.000 1.894
-1.847 0.000 8.577
4.174 0.000 6.431
3.520 0.000 9.899
7.344 0.000 5.235
11.168 0.000 0.572
10.514 0.000 4.040
4.867 0.000 2.806
9.821 0.000 7.665
```

The calculation puts the formation energy from the elements at 0.095 eV/atom. As for the space group: C2/m (12). Its energy relative to the lowest polymorph listed for this composition is 0.00 kJ per mole of atoms.


DFT (PBE-GGA) results for Li2MgSiTe4 after structural relaxation.

The structure in POSCAR format:
```
Li2MgSiTe4
1.0
-3.906 4.324 5.872
3.906 -4.324 5.872
3.906 4.324 -5.872
Li Mg Si Te
4 2 2 8
Cartesian
0.000 0.000 0.000
-1.953 2.162 2.936
0.000 4.324 0.000
1.953 2.162 2.936
3.906 0.000 0.000
0.000 0.000 5.872
1.953 2.162 -2.936
1.953 -2.162 2.936
3.906 4.144 -2.950
3.906 -0.180 2.950
1.935 2.162 -0.111
1.971 -2.162 5.761
1.935 6.486 0.111
1.971 2.162 5.983
0.000 4.504 2.922
0.000 0.180 8.822
```

As for the space group: Imma (74). The calculation puts the raw formation energy at -3.96 eV/f.u.


DFT (PBE-GGA) results for LiNbP2 after structural relaxation.

The structure in POSCAR format:
```
LiNbP2
1.0
-2.955 2.955 5.344
2.955 -2.955 5.344
2.955 2.955 -5.344
Li Nb P
2 2 4
Cartesian
0.000 0.000 0.000
0.000 2.955 2.672
2.955 0.000 2.672
0.000 0.000 5.344
1.478 -1.323 4.008
1.632 1.478 1.336
1.478 4.278 -1.336
1.323 1.478 6.679
```

The calculation puts the formation energy from the elements at -0.227 eV/atom. As for the space group: I-42d (122). Its energy relative to the lowest polymorph listed for this composition is 32.73 kJ per mole of atoms.


DFT (PBE-GGA) results for Mo3AsH after structural relaxation.

The structure in POSCAR format:
```
Mo3AsH
1.0
4.014 0.000 0.000
0.000 4.014 0.000
0.000 0.000 4.014
Mo As H
3 1 1
Cartesian
0.000 0.000 2.007
0.000 2.007 0.000
2.007 0.000 0.000
2.007 2.007 2.007
0.000 0.000 0.000
```

As for the space group: Pm-3m (221). Its energy relative to the lowest polymorph listed for this composition is 0.00 kJ per mole of atoms.